First-principles (PBE) data for crystalline Ba2RuW at its relaxed geometry, as listed in the Alexandria database.

Properties
formation enthalpy at 0 K	6.0	eV/f.u.
M_tot	0.0	Bohr magnetons per cell
volume	25.27	Å³ per atom
DOS(E_F)	1.05	states/eV/atom

CIF file:
```
data_Ba2RuW
_symmetry_space_group_name_H-M 'P 4/m m m'
_symmetry_Int_Tables_number 123
_symmetry_space_group_name_Hall '-P 4 2'
_cell_length_a 4.298
_cell_length_b 4.298
_cell_length_c 5.471
_cell_angle_alpha 90.00
_cell_angle_beta 90.00
_cell_angle_gamma 90.00
loop_
_atom_site_label
_atom_site_type_symbol
_atom_site_fract_x
_atom_site_fract_y
_atom_site_fract_z
Ba1 Ba 0.000 0.500 0.000
Ru1 Ru 0.000 0.000 0.500
W1 W 0.500 0.500 0.500
```